This record from Alexandria describes a geometry-optimized CaCe2Si3Pt4 structure. The functional is PBE.

Calculated values
Its density of states at the Fermi level is 1.32 states/eV per atom. As for the total energy: -6.379 eV/atom. Its density is 10.07 g/cm3. Its uncorrected formation energy is -949 meV per atom.

Unit cell a=4.2414 b=4.2414 c=10.8634 alpha=90.00 beta=90.00 gamma=90.00
Last column: nearest neighbours and their distance in Å.
Element x y z (fractional)
Ca 0.0000 0.0000 0.0000  4 Pt 2.76, 4 Si 3.00
Ce 0.0000 0.5000 0.7313  8 Pt 3.21-3.29, 4 Si 3.24
Ce 0.5000 0.0000 0.2687  8 Pt 3.21-3.29, 4 Si 3.24
Si 0.0000 0.5000 0.3814  5 Pt 2.38-2.48
Si 0.5000 0.0000 0.6186  5 Pt 2.38-2.48
Si 0.5000 0.5000 0.0000  4 Pt 2.76, 4 Ca 3.00
Pt 0.0000 0.0000 0.5000  4 Si 2.48
Pt 0.0000 0.5000 0.1622  1 Si 2.38
Pt 0.5000 0.0000 0.8378  1 Si 2.38
Pt 0.5000 0.5000 0.5000  4 Si 2.48